Material: GaB2O2
Method: DFT, GGA-PBE
State: optimized geometry

The calculation puts the formation energy from raw total energies at -1.1778 eV per atom. Its space group is P4/mbm, No. 127.

Cell and atoms, written as POSCAR:
```
GaB2O2
1.0
9.822 0.000 0.000
0.000 9.822 0.000
0.000 0.000 2.379
Ga B O
2 4 4
Direct
0.000 0.000 0.000
0.500 0.500 0.000
0.063 0.437 0.000
0.437 0.937 0.000
0.563 0.063 0.000
0.937 0.563 0.000
0.114 0.386 0.500
0.386 0.886 0.500
0.614 0.114 0.500
0.886 0.614 0.500
```

Material: Er5Tm5In2
Method: DFT, GGA-PBE
State: optimized geometry

Its space group is C2/m, No. 12. The formation energy comes out at -0.13 eV/atom.

Cell and atoms, written as POSCAR:
```
Er5Tm5In2
1.0
7.439 -2.449 0.000
7.439 2.449 0.000
-4.956 0.000 9.555
Er Tm In
5 5 2
Direct
0.000 0.000 0.000
0.082 0.082 0.746
0.253 0.253 0.264
0.747 0.747 0.736
0.918 0.918 0.254
0.335 0.335 0.003
0.410 0.410 0.736
0.500 0.500 0.500
0.590 0.590 0.264
0.665 0.665 0.997
0.157 0.157 0.500
0.843 0.843 0.500
```

Material: Na3RePt
Method: DFT, GGA-PBE
State: optimized geometry

Its space group is Pm-3m, No. 221. The formation energy comes out at 1.82 eV/atom.

Cell and atoms, written as POSCAR:
```
Na3RePt
1.0
5.572 0.000 0.000
0.000 5.572 0.000
0.000 0.000 5.572
Na Re Pt
3 1 1
Direct
0.000 0.000 0.500
0.000 0.500 0.000
0.500 0.000 0.000
0.000 0.000 0.000
0.500 0.500 0.500
```

Material: UTlGaO6
Method: DFT, GGA-PBE
State: optimized geometry

The calculation puts the formation energy from raw total energies at -1.9624 eV per atom. Its space group is P312, No. 149.

Cell and atoms, written as POSCAR:
```
UTlGaO6
1.0
5.384 0.000 0.000
-2.692 4.663 0.000
0.000 0.000 4.848
U Tl Ga O
1 1 1 6
Direct
0.000 0.000 0.000
0.667 0.333 0.500
0.333 0.667 0.000
0.024 0.343 0.226
0.024 0.681 0.774
0.319 0.343 0.774
0.319 0.976 0.226
0.657 0.681 0.226
0.657 0.976 0.774
```

Material: Dy2Np3TaN6
Method: DFT, GGA-PBE
State: optimized geometry

The calculation puts the formation energy from raw total energies at -1.3035 eV per atom. Its space group is C2/m, No. 12.

Cell and atoms, written as POSCAR:
```
Dy2Np3TaN6
1.0
2.929 -5.071 0.000
2.929 5.071 0.000
-1.952 0.000 5.532
Dy Np Ta N
2 3 1 6
Direct
0.166 0.834 0.000
0.834 0.166 0.000
0.000 0.000 0.500
0.331 0.669 0.500
0.669 0.331 0.500
0.500 0.500 0.000
0.109 0.420 0.758
0.271 0.271 0.248
0.420 0.109 0.758
0.580 0.891 0.242
0.729 0.729 0.752
0.891 0.580 0.242
```

Material: NaSr2HgPd
Method: DFT, GGA-PBE
State: optimized geometry

Its space group is P4/mmm, No. 123. The formation energy comes out at -0.30 eV/atom.

Cell and atoms, written as POSCAR:
```
NaSr2HgPd
1.0
5.884 0.000 0.000
0.000 5.884 0.000
0.000 0.000 5.375
Na Sr Hg Pd
1 2 1 1
Direct
0.000 0.000 0.000
0.000 0.500 0.500
0.500 0.000 0.500
0.500 0.500 0.000
0.500 0.500 0.500
```

Please write out number 3 again, unchanged.
Material: Na3RePt
Method: DFT, GGA-PBE
State: optimized geometry

Its space group is Pm-3m, No. 221. The formation energy comes out at 1.82 eV/atom.

Cell and atoms, written as POSCAR:
```
Na3RePt
1.0
5.572 0.000 0.000
0.000 5.572 0.000
0.000 0.000 5.572
Na Re Pt
3 1 1
Direct
0.000 0.000 0.500
0.000 0.500 0.000
0.500 0.000 0.000
0.000 0.000 0.000
0.500 0.500 0.500
```